Material: Ca2Ac4Nd5
Method: DFT, PBE
State: optimized geometry

Results
**Total magnetization**: 0.000 μB/atom
**E_form**: 105 meV per atom

```
Ca2Ac4Nd5
1.0
12.882 -1.893 0.000
12.882 1.893 0.000
-3.746 0.000 9.116
Ca Ac Nd
2 4 5
direct
0.117 0.117 0.430
0.883 0.883 0.570
0.039 0.039 0.709
0.314 0.314 0.166
0.686 0.686 0.834
0.961 0.961 0.291
0.130 0.130 0.081
0.268 0.268 0.660
0.500 0.500 0.000
0.732 0.732 0.340
0.870 0.870 0.919
```